1.
{"formula": "Ba5Li2Au5", "functional": "PBE", "state": "relaxed", "crystal_system": "monoclinic", "space_group": "No. 12", "e_form_kj_per_mol_fu": -666, "final_energy_ev_per_fu": -36.73, "lattice_angstrom": [[8.6065, -2.2725, 0.0000], [8.6065, 2.2725, 0.0000], [-8.4977, 0.0000, 9.8293]], "species": ["Ba", "Ba", "Ba", "Ba", "Ba", "Li", "Li", "Au", "Au", "Au", "Au", "Au"], "fractional_positions": [[0.0000, 0.0000, 0.0000], [0.1011, 0.1011, 0.4241], [0.1959, 0.1959, 0.8184], [0.8041, 0.8041, 0.1816], [0.8989, 0.8989, 0.5759], [0.3560, 0.3560, 0.7353], [0.6440, 0.6440, 0.2647], [0.2452, 0.2452, 0.3204], [0.4428, 0.4428, 0.1457], [0.5000, 0.5000, 0.5000], [0.5572, 0.5572, 0.8543], [0.7548, 0.7548, 0.6796]]}

2.
{"formula": "ScCoGe2", "functional": "PBE", "state": "relaxed", "crystal_system": "orthorhombic", "space_group": "No. 71", "e_form_kj_per_mol_fu": -226, "final_energy_ev_per_fu": -25.02, "lattice_angstrom": [[-2.6573, 3.9632, 8.7828], [2.6573, -3.9632, 8.7828], [2.6573, 3.9632, -8.7828]], "species": ["Sc", "Sc", "Sc", "Sc", "Sc", "Sc", "Co", "Co", "Co", "Co", "Co", "Co", "Ge", "Ge", "Ge", "Ge", "Ge", "Ge", "Ge", "Ge", "Ge", "Ge", "Ge", "Ge"], "fractional_positions": [[0.1427, 0.1427, 0.0000], [0.1442, 0.4047, 0.7395], [0.3347, 0.5953, 0.7395], [0.6653, 0.4047, 0.2605], [0.8558, 0.5953, 0.2605], [0.8573, 0.8573, 0.0000], [0.0000, 0.0000, 0.5000], [0.0000, 0.5000, 0.0000], [0.2560, 0.0000, 0.2560], [0.5000, 0.0000, 0.0000], [0.5000, 0.5000, 0.5000], [0.7440, 0.0000, 0.7440], [0.0000, 0.2529, 0.2529], [0.0000, 0.7471, 0.7471], [0.2038, 0.8603, 0.3435], [0.2062, 0.7062, 0.5000], [0.2993, 0.2993, 0.0000], [0.4832, 0.1397, 0.3435], [0.5000, 0.2625, 0.7625], [0.5000, 0.7375, 0.2375], [0.5168, 0.8603, 0.6565], [0.7007, 0.7007, 0.0000], [0.7938, 0.2938, 0.5000], [0.7962, 0.1397, 0.6565]]}